Model one:
This record from Alexandria describes an optimized crystal structure of CaZrSN2. The functional is PBE.

Lattice parameters (Å, degrees): 4.1769 4.1769 5.2810 90.00 90.00 90.00
Closest atoms and distances in Å follow each position.
Sites, in units of the cell vectors:
Ca: 0.0000 0.0000 0.0000  4 S 2.95
Zr: 0.5000 0.5000 0.5000  4 N 2.09
S: 0.5000 0.5000 0.0000  2 Zr 2.64, 4 Ca 2.95
N: 0.0000 0.5000 0.5000  2 Zr 2.09
N: 0.5000 0.0000 0.5000  2 Zr 2.09

Values from the calculation:
Total moment: 0.7 μB/cell


Model two:
This record from Alexandria describes an optimized crystal structure of CaZrSN2. The functional is PBE.

Lattice parameters (Å, degrees): 4.1150 4.1150 5.0326 90.00 90.00 90.00
Closest atoms and distances in Å follow each position.
Sites, in units of the cell vectors:
Ca: 0.0000 0.0000 0.0000  4 N 2.06
Zr: 0.5000 0.5000 0.5000  4 S 2.91, 8 N 3.25
S: 0.0000 0.0000 0.5000  2 Ca 2.52
N: 0.0000 0.5000 0.0000  2 Ca 2.06
N: 0.5000 0.0000 0.0000  2 Ca 2.06

Values from the calculation:
Total moment: 0.4 μB/cell


It is model two that is the least stable of them.


Model one:
This record from Alexandria describes an optimized crystal structure of Ca7Sb3N2. The functional is PBE.

Lattice parameters (Å, degrees): 12.8040 12.8040 4.7867 90.00 90.00 157.98
Closest atoms and distances in Å follow each position.
Sites, in units of the cell vectors:
Ca: 0.0000 0.0000 0.0000  2 N 2.46
Ca: 0.0970 0.9030 0.5000  2 N 2.39
Ca: 0.1939 0.8061 0.0000  1 N 2.41
Ca: 0.4023 0.5977 0.0000  2 N 2.45
Ca: 0.5977 0.4023 0.0000  2 N 2.45
Ca: 0.8061 0.1939 0.0000  1 N 2.41
Ca: 0.9030 0.0970 0.5000  2 N 2.39
Sb: 0.3114 0.6886 0.5000  8 Ca 3.31-3.42
Sb: 0.5000 0.5000 0.5000  12 Ca 3.42-3.45
Sb: 0.6886 0.3114 0.5000  8 Ca 3.31-3.42
N: 0.0980 0.9020 0.0000  6 Ca 2.39-2.46
N: 0.9020 0.0980 0.0000  6 Ca 2.39-2.46

Values from the calculation:
Total moment: 0.0 μB/cell


Model two:
This record from Alexandria describes an optimized crystal structure of Ca7Sb3N2. The functional is PBE.

Lattice parameters (Å, degrees): 13.3493 13.3493 13.3493 159.14 159.14 29.66
Closest atoms and distances in Å follow each position.
Sites, in units of the cell vectors:
Ca: 0.0000 0.0000 0.0000  2 N 2.46
Ca: 0.0958 0.5958 0.5000  2 N 2.42
Ca: 0.1933 0.1933 0.0000  1 N 2.53
Ca: 0.4042 0.9042 0.5000  2 N 2.42
Ca: 0.5958 0.0958 0.5000  2 N 2.42
Ca: 0.8067 0.8067 0.0000  1 N 2.53
Ca: 0.9042 0.4042 0.5000  2 N 2.42
Sb: 0.3182 0.3182 0.0000  9 Ca 3.22-3.43
Sb: 0.5000 0.5000 0.0000  12 Ca 3.42-3.46
Sb: 0.6818 0.6818 0.0000  9 Ca 3.22-3.43
N: 0.0953 0.0953 0.0000  6 Ca 2.42-2.53
N: 0.9047 0.9047 0.0000  6 Ca 2.42-2.53

Values from the calculation:
Total moment: 0.0 μB/cell


It is model one that is the least stable of them.


Model one:
This record from Alexandria describes an optimized crystal structure of Ca4Sb2N. The functional is PBE.

Lattice parameters (Å, degrees): 6.8786 6.7389 9.2543 90.00 108.84 90.00
Closest atoms and distances in Å follow each position.
Sites, in units of the cell vectors:
Ca: 0.1458 0.2500 0.0606  1 N 2.21
Ca: 0.1817 0.0137 0.7208  1 N 2.22
Ca: 0.1817 0.4863 0.7208  1 N 2.22
Ca: 0.3033 0.7500 0.3342  1 N 2.22
Ca: 0.6967 0.2500 0.6658  1 N 2.22
Ca: 0.8183 0.5137 0.2792  1 N 2.22
Ca: 0.8183 0.9863 0.2792  1 N 2.22
Ca: 0.8542 0.7500 0.9394  1 N 2.21
Sb: 0.2312 0.2500 0.4262  8 Ca 3.24-3.55
Sb: 0.4220 0.7500 0.0159  6 Ca 3.23-3.41, 2 Sb 3.58
Sb: 0.5780 0.2500 0.9841  6 Ca 3.23-3.41, 2 Sb 3.58
Sb: 0.7688 0.7500 0.5738  8 Ca 3.24-3.55
N: 0.0250 0.2500 0.8082  4 Ca 2.21-2.22
N: 0.9750 0.7500 0.1918  4 Ca 2.21-2.22

Values from the calculation:
Total moment: 0.0 μB/cell


Model two:
This record from Alexandria describes an optimized crystal structure of Ca4Sb2N. The functional is PBE.

Lattice parameters (Å, degrees): 8.0578 8.0578 4.7274 90.00 90.00 144.51
Closest atoms and distances in Å follow each position.
Sites, in units of the cell vectors:
Ca: 0.0000 0.0000 0.0000  2 N 2.36
Ca: 0.1586 0.8414 0.5000  1 N 2.43
Ca: 0.5000 0.5000 0.5000  2 N 2.46
Ca: 0.8414 0.1586 0.5000  1 N 2.43
Sb: 0.3497 0.6503 0.0000  8 Ca 3.30-3.41
Sb: 0.6503 0.3497 0.0000  8 Ca 3.30-3.41
N: 0.0000 0.0000 0.5000  6 Ca 2.36-2.46

Values from the calculation:
Total moment: 0.0 μB/cell


It is model one that is the least stable of them.


Model one:
This record from Alexandria describes an optimized crystal structure of CaSbSeN2. The functional is PBE.

Lattice parameters (Å, degrees): 4.1069 4.1069 5.5989 90.00 90.00 90.00
Closest atoms and distances in Å follow each position.
Sites, in units of the cell vectors:
Ca: 0.0000 0.0000 0.0000  4 Se 2.90
Sb: 0.5000 0.5000 0.5000  4 N 2.05
Se: 0.5000 0.5000 0.0000  2 Sb 2.80, 4 Ca 2.90
N: 0.0000 0.5000 0.5000  2 Sb 2.05
N: 0.5000 0.0000 0.5000  2 Sb 2.05

Values from the calculation:
Total moment: 0.6 μB/cell


Model two:
This record from Alexandria describes an optimized crystal structure of CaSbSeN2. The functional is PBE.

Lattice parameters (Å, degrees): 4.3197 4.3197 5.6382 90.00 90.00 90.00
Closest atoms and distances in Å follow each position.
Sites, in units of the cell vectors:
Ca: 0.0000 0.0000 0.0000  4 N 2.16
Sb: 0.5000 0.5000 0.5000  4 Se 3.05
Se: 0.0000 0.0000 0.5000  2 Ca 2.82, 4 Sb 3.05
N: 0.0000 0.5000 0.0000  2 Ca 2.16
N: 0.5000 0.0000 0.0000  2 Ca 2.16

Values from the calculation:
Total moment: 0.2 μB/cell


It is model two that is the least stable of them.


Model one:
This record from Alexandria describes an optimized crystal structure of CaSbTeN2. The functional is PBE.

Lattice parameters (Å, degrees): 4.6125 4.6125 6.2897 90.00 90.00 90.00
Closest atoms and distances in Å follow each position.
Sites, in units of the cell vectors:
Ca: 0.0000 0.0000 0.0000  4 N 2.31
Sb: 0.5000 0.5000 0.5000  4 Te 3.26
Te: 0.0000 0.0000 0.5000  2 Ca 3.14, 4 Sb 3.26
N: 0.0000 0.5000 0.0000  2 Ca 2.31
N: 0.5000 0.0000 0.0000  2 Ca 2.31

Values from the calculation:
Total moment: 3.2 μB/cell


Model two:
This record from Alexandria describes an optimized crystal structure of CaSbTeN2. The functional is PBE.

Lattice parameters (Å, degrees): 4.2280 4.2280 6.0891 90.00 90.00 90.00
Closest atoms and distances in Å follow each position.
Sites, in units of the cell vectors:
Ca: 0.0000 0.0000 0.0000  4 Te 2.99
Sb: 0.5000 0.5000 0.5000  4 N 2.11
Te: 0.5000 0.5000 0.0000  4 Ca 2.99, 2 Sb 3.04
N: 0.0000 0.5000 0.5000  2 Sb 2.11
N: 0.5000 0.0000 0.5000  2 Sb 2.11

Values from the calculation:
Total moment: 1.2 μB/cell


It is model one that is the least stable of them.


Model one:
This record from Alexandria describes an optimized crystal structure of CaSb2TeN. The functional is PBE.

Lattice parameters (Å, degrees): 4.9021 4.9021 4.7897 90.00 90.00 90.00
Closest atoms and distances in Å follow each position.
Sites, in units of the cell vectors:
Ca: 0.0000 0.0000 0.0000  8 Sb 3.43, 4 Te 3.47
Sb: 0.0000 0.5000 0.5000  2 N 2.45
Sb: 0.5000 0.0000 0.5000  2 N 2.45
Te: 0.5000 0.5000 0.0000  2 N 2.39
N: 0.5000 0.5000 0.5000  2 Te 2.39, 4 Sb 2.45

Values from the calculation:
Total moment: 0.0 μB/cell


Model two:
This record from Alexandria describes an optimized crystal structure of CaSb2TeN. The functional is PBE.

Lattice parameters (Å, degrees): 5.8458 5.8458 5.7752 90.00 90.00 90.00
Closest atoms and distances in Å follow each position.
Sites, in units of the cell vectors:
Ca: 0.0000 0.0000 0.0000  2 Te 2.89, 4 Sb 2.92
Sb: 0.0000 0.5000 0.0000  2 Ca 2.92
Sb: 0.5000 0.0000 0.0000  2 Ca 2.92
Te: 0.0000 0.0000 0.5000  2 Ca 2.89
N: 0.5000 0.5000 0.5000  8 Sb 4.11, 4 Te 4.13

Values from the calculation:
Total moment: 2.8 μB/cell


It is model two that is the least stable of them.